# Fe2TcRh5

Fe2TcRh5 after structural relaxation (PBE-GGA, Alexandria).

```
data_Fe2TcRh5
_chemical_formula_sum 'Fe4 Tc2 Rh10'
_symmetry_space_group_name_H-M 'P b a m'
_symmetry_Int_Tables_number 55
_cell_length_a 5.366
_cell_length_b 10.716
_cell_length_c 3.832
_cell_angle_alpha 90.00
_cell_angle_beta 90.00
_cell_angle_gamma 90.00
loop_
_symmetry_equiv_pos_as_xyz
'x,y,z'
'-x,-y,-z'
'-x,-y,z'
'x,y,-z'
'x+1/2,-y+1/2,-z'
'-x+1/2,y+1/2,z'
'-x+1/2,y+1/2,-z'
'x+1/2,-y+1/2,z'
loop_
_atom_site_label
_atom_site_type_symbol
_atom_site_fract_x
_atom_site_fract_y
_atom_site_fract_z
_atom_site_occupancy
Fe1 Fe 0.248 0.124 0.000 1
Tc1 Tc 0.000 0.500 0.500 1
Rh1 Rh 0.000 0.000 0.500 1
Rh2 Rh 0.008 0.747 0.500 1
Rh3 Rh 0.242 0.379 0.000 1
```

- E_tot: -128.73 eV/cell

# FeTcRh2

FeTcRh2 after structural relaxation (PBE-GGA, Alexandria).

```
data_FeTcRh2
_chemical_formula_sum 'Fe3 Tc3 Rh6'
_symmetry_space_group_name_H-M 'R -3 m'
_symmetry_Int_Tables_number 166
_symmetry_space_group_name_Hall '-R 3 2"'
_cell_length_a 2.7199
_cell_length_b 2.7199
_cell_length_c 25.9191
_cell_angle_alpha 90.00
_cell_angle_beta 90.00
_cell_angle_gamma 120.00
loop_
_atom_site_label
_atom_site_type_symbol
_atom_site_fract_x
_atom_site_fract_y
_atom_site_fract_z
_atom_site_occupancy
Fe1 Fe 0.0000 0.0000 0.0000 1
Tc1 Tc 0.0000 0.0000 0.5000 1
Rh1 Rh 0.0000 0.0000 0.2508 1
```

- E_tot: -100.72 eV/cell

# FeTcRh2

FeTcRh2 after structural relaxation (PBE-GGA, Alexandria).

```
data_FeTcRh2
_chemical_formula_sum 'Fe2 Tc2 Rh4'
_symmetry_space_group_name_H-M 'I 4/m m m'
_symmetry_Int_Tables_number 139
_symmetry_space_group_name_Hall '-I 4 2'
_cell_length_a 3.801
_cell_length_b 3.801
_cell_length_c 7.598
_cell_angle_alpha 90.00
_cell_angle_beta 90.00
_cell_angle_gamma 90.00
loop_
_atom_site_label
_atom_site_type_symbol
_atom_site_fract_x
_atom_site_fract_y
_atom_site_fract_z
_atom_site_occupancy
Fe1 Fe 0.000 0.000 0.000 1
Tc1 Tc 0.000 0.000 0.500 1
Rh1 Rh 0.000 0.500 0.250 1
```

- E_tot: -67.51 eV/cell